Entry 1:
Y2Ge4Rh3 | Alexandria via LeMat-Bulk | GGA-PBE | relaxed; size of the total moment = 0.0000 μB/atom; DFT total energy = -6.665 eV/atom
1.0
5.5629 -0.1181 0.0000
-2.6900 4.8707 0.0000
-1.4365 -2.3763 6.1657
Y Ge Rh
2 4 3
Cartesian
1.4365 2.3763 1.6440 Y
0.0000 0.0000 4.5217 Y
-2.7354 1.6535 4.2040 Ge
2.7354 -1.6535 4.2040 Ge
4.1719 0.7228 1.9616 Ge
-1.2989 4.0298 1.9616 Ge
2.7815 -0.0591 0.0000 Rh
0.0000 0.0000 0.0000 Rh
-1.3450 2.4354 0.0000 Rh

Entry 2:
CsAgGeTe3 | Alexandria via LeMat-Bulk | GGA-PBE | relaxed; formation energy from raw total energies = -0.290 eV/atom; size of the total moment = 0.0000 μB/atom
1.0
7.6736 -0.4802 -0.3532
3.1716 7.0040 -0.3532
2.6405 1.5883 8.4725
Cs Ag Ge Te
2 2 2 6
Cartesian
9.4248 5.6694 6.0427 Cs
4.0609 2.4428 1.7233 Cs
5.6382 5.8925 3.8830 Ag
7.8475 2.2197 3.8830 Ag
2.4321 1.4630 7.2364 Ge
11.0536 6.6492 0.5296 Ge
4.3626 2.6243 5.9395 Te
5.5533 5.8171 6.5278 Te
7.7411 2.1800 6.5278 Te
5.7446 5.9321 1.2381 Te
7.9324 2.2951 1.2381 Te
9.1230 5.4879 1.8265 Te

Entry 3:
Rb2HfTeRh | Alexandria via LeMat-Bulk | GGA-PBE | relaxed; formation energy from raw total energies = 0.968 eV/atom; size of the total moment = 0.4461 μB/atom
1.0
6.9324 0.0000 0.0000
0.0000 4.8694 0.0000
0.0000 0.0000 6.9324
Rh Te Hf Rb
1 1 1 2
Cartesian
0.0000 2.4347 0.0000 Rh
0.0000 0.0000 0.0000 Te
3.4662 2.4347 3.4662 Hf
0.0000 0.0000 3.4662 Rb
3.4662 0.0000 0.0000 Rb

Entry 4:
ZrHIr2Os | Alexandria via LeMat-Bulk | GGA-PBE | relaxed; size of the total moment = 0.0000 μB/atom; DFT total energy = -8.531 eV/atom
1.0
4.0209 0.0000 0.0000
0.0000 4.0209 0.0000
0.0000 0.0000 4.0466
H Ir Os Zr
1 2 1 1
Cartesian
0.0000 0.0000 0.0000 H
0.0000 2.0105 0.0000 Ir
2.0105 0.0000 0.0000 Ir
0.0000 0.0000 2.0233 Os
2.0105 2.0105 2.0233 Zr

Entry 5:
CsPaTe | Alexandria via LeMat-Bulk | GGA-PBE | relaxed; formation energy from raw total energies = 0.325 eV/atom; size of the total moment = 0.8306 μB/atom
1.0
6.1306 0.0000 0.0000
0.0000 3.6180 0.0000
-3.0653 -1.8090 9.8250
Te Cs Pa
2 2 2
Cartesian
3.0653 0.0000 2.9905 Te
0.0000 1.8090 6.8346 Te
4.5945 1.8090 0.0000 Cs
1.5360 1.8090 0.0000 Cs
0.0000 1.8090 3.8559 Pa
3.0653 0.0000 5.9691 Pa

Entry 6:
IrRu2 | Alexandria via LeMat-Bulk | GGA-PBE | relaxed; size of the total moment = 0.0000 μB/atom; energy above the lowest structure with this stoichiometry = 0.000 eV/atom
1.0
2.7412 0.0000 0.0000
0.0000 4.3257 0.0000
-1.3706 0.0000 7.1286
Ir Ru
2 4
Cartesian
0.0000 1.0814 5.5416 Ir
1.3706 3.2443 1.5869 Ir
0.0000 1.0814 0.8026 Ru
0.0000 3.2443 3.9652 Ru
1.3706 1.0814 3.1634 Ru
1.3706 3.2443 6.3260 Ru

What is the size of the total moment in the first record?
0.0000 μB/atom

What is the size of the total moment in the sixth record?
0.0000 μB/atom